DFT (PBE) results for crystalline NpScTl2O8 at its relaxed geometry.

a b c (Å): 7.0967 7.5046 6.6510
angles (deg): 90.00 90.00 90.00
Last column: nearest neighbours and their distance in Å.
Space group Cmmm (No. 65)
Inequivalent atoms, fractional coordinates:
Np  0.0000  0.0000  0.0000 x2  6 O 2.00-2.10
Sc  0.0000  0.0000  0.5000 x2  6 O 2.06-2.19
Tl  0.0000  0.5000  0.2578 x4  4 O 2.19-2.24
O  0.0000  0.1695  0.2314 x8  1 Np 2.00, 1 Sc 2.19
O  0.2037  0.5000  0.0000 x4  1 Np 2.10, 2 Tl 2.24
O  0.2092  0.5000  0.5000 x4  1 Sc 2.06, 2 Tl 2.19

Output
- density (g cm⁻³) = 7.68
- formation energy from raw total energies (eV/f.u.) = -22.9